# 1
AcCeEr2 (GGA-PBE, relaxed); energy above the lowest structure with this stoichiometry = 0.32 eV per formula unit; total DFT energy (no corrections) = -73.89 eV for the cell shown; formation energy = 4.01 kcal/mol of atoms; crystal system = cubic; M_tot = 2.49 μB/cell; calculated density = 8.46 g cm⁻³
1.0
8.1971 0.0000 0.0000
0.0000 8.1971 0.0000
0.0000 0.0000 8.1971
Ac Ce Er
4 4 8
Direct
0.0000 0.0000 0.0000 Ac
0.0000 0.5000 0.5000 Ac
0.5000 0.0000 0.5000 Ac
0.5000 0.5000 0.0000 Ac
0.0000 0.0000 0.5000 Ce
0.0000 0.5000 0.0000 Ce
0.5000 0.0000 0.0000 Ce
0.5000 0.5000 0.5000 Ce
0.2500 0.2500 0.2500 Er
0.2500 0.2500 0.7500 Er
0.2500 0.7500 0.2500 Er
0.2500 0.7500 0.7500 Er
0.7500 0.2500 0.2500 Er
0.7500 0.2500 0.7500 Er
0.7500 0.7500 0.2500 Er
0.7500 0.7500 0.7500 Er

# 2
AcCeEr2 (GGA-PBE, relaxed); energy above the lowest structure with this stoichiometry = 0.31 eV per formula unit; total DFT energy (no corrections) = -18.49 eV for the cell shown; formation energy = 3.92 kcal/mol of atoms; crystal system = tetragonal; M_tot = 0.86 μB/cell; calculated density = 8.47 g cm⁻³
1.0
5.9232 0.0000 0.0000
0.0000 5.9232 0.0000
0.0000 0.0000 3.9194
Ac Ce Er
1 1 2
Direct
0.0000 0.0000 0.0000 Ac
0.5000 0.5000 0.0000 Ce
0.0000 0.5000 0.5000 Er
0.5000 0.0000 0.5000 Er

# 3
AcCeEr2 (GGA-PBE, relaxed); energy above the lowest structure with this stoichiometry = 0.08 eV per formula unit; total DFT energy (no corrections) = -56.15 eV for the cell shown; formation energy = 2.60 kcal/mol of atoms; crystal system = trigonal; M_tot = 2.01 μB/cell; calculated density = 8.67 g cm⁻³
1.0
3.6405 0.0000 0.0000
-1.8203 3.1528 0.0000
0.0000 0.0000 35.1266
Ac Ce Er
3 3 6
Direct
0.0000 0.0000 0.0000 Ac
0.3333 0.6667 0.6667 Ac
0.6667 0.3333 0.3333 Ac
0.0000 0.0000 0.1661 Ce
0.3333 0.6667 0.8327 Ce
0.6667 0.3333 0.4994 Ce
0.0000 0.0000 0.5780 Er
0.0000 0.0000 0.7543 Er
0.3333 0.6667 0.2446 Er
0.3333 0.6667 0.4210 Er
0.6667 0.3333 0.0877 Er
0.6667 0.3333 0.9113 Er

# 4
Ac2CeEr (GGA-PBE, relaxed); energy above the lowest structure with this stoichiometry = 0.39 eV per formula unit; total DFT energy (no corrections) = -71.35 eV for the cell shown; formation energy = 5.05 kcal/mol of atoms; crystal system = cubic; M_tot = 10.29 μB/cell; calculated density = 8.31 g cm⁻³
1.0
8.4729 0.0000 0.0000
0.0000 8.4729 0.0000
0.0000 0.0000 8.4729
Ac Ce Er
8 4 4
Direct
0.2500 0.2500 0.2500 Ac
0.2500 0.2500 0.7500 Ac
0.2500 0.7500 0.2500 Ac
0.2500 0.7500 0.7500 Ac
0.7500 0.2500 0.2500 Ac
0.7500 0.2500 0.7500 Ac
0.7500 0.7500 0.2500 Ac
0.7500 0.7500 0.7500 Ac
0.0000 0.0000 0.0000 Ce
0.0000 0.5000 0.5000 Ce
0.5000 0.0000 0.5000 Ce
0.5000 0.5000 0.0000 Ce
0.0000 0.0000 0.5000 Er
0.0000 0.5000 0.0000 Er
0.5000 0.0000 0.0000 Er
0.5000 0.5000 0.5000 Er

# 5
AcCeEr (GGA-PBE, relaxed); energy above the lowest structure with this stoichiometry = 0.04 eV per formula unit; total DFT energy (no corrections) = -56.73 eV for the cell shown; formation energy = 3.24 kcal/mol of atoms; crystal system = orthorhombic; M_tot = 5.43 μB/cell; calculated density = 8.44 g cm⁻³
1.0
5.2796 0.0000 0.0000
0.0000 15.3996 0.0000
0.0000 0.0000 5.1696
Ac Ce Er
4 4 4
Direct
0.0000 0.2492 0.2500 Ac
0.0000 0.7508 0.7500 Ac
0.5000 0.2508 0.7500 Ac
0.5000 0.7492 0.2500 Ac
0.0000 0.0747 0.7500 Ce
0.0000 0.9253 0.2500 Ce
0.5000 0.4253 0.2500 Ce
0.5000 0.5747 0.7500 Ce
0.0000 0.4233 0.7500 Er
0.0000 0.5767 0.2500 Er
0.5000 0.0767 0.2500 Er
0.5000 0.9233 0.7500 Er

# 6
Ac2CeEr (GGA-PBE, relaxed); energy above the lowest structure with this stoichiometry = 0.67 eV per formula unit; total DFT energy (no corrections) = -52.70 eV for the cell shown; formation energy = 6.61 kcal/mol of atoms; crystal system = trigonal; M_tot = 4.52 μB/cell; calculated density = 8.26 g cm⁻³
1.0
3.6853 0.0000 0.0000
-1.8427 3.1916 0.0000
0.0000 0.0000 39.0386
Ac Ce Er
6 3 3
Direct
0.0000 0.0000 0.0890 Ac
0.0000 0.0000 0.9110 Ac
0.3333 0.6667 0.5776 Ac
0.3333 0.6667 0.7557 Ac
0.6667 0.3333 0.2443 Ac
0.6667 0.3333 0.4224 Ac
0.0000 0.0000 0.0000 Ce
0.3333 0.6667 0.6667 Ce
0.6667 0.3333 0.3333 Ce
0.0000 0.0000 0.5000 Er
0.3333 0.6667 0.1667 Er
0.6667 0.3333 0.8333 Er

# 7
Ac2CeEr (GGA-PBE, relaxed); energy above the lowest structure with this stoichiometry = 0.03 eV per formula unit; total DFT energy (no corrections) = -18.21 eV for the cell shown; formation energy = 2.92 kcal/mol of atoms; crystal system = tetragonal; M_tot = 1.12 μB/cell; calculated density = 8.48 g cm⁻³
1.0
5.3605 0.0000 0.0000
0.0000 5.3605 0.0000
0.0000 0.0000 5.1873
Ac Ce Er
2 1 1
Direct
0.0000 0.5000 0.0000 Ac
0.5000 0.0000 0.0000 Ac
0.0000 0.0000 0.5000 Ce
0.5000 0.5000 0.5000 Er

# 8
AcCe4Er (GGA-PBE, relaxed); total DFT energy (no corrections) = -31.22 eV for the cell shown; formation energy = 4.55 kcal/mol of atoms; crystal system = cubic; M_tot = 3.76 μB/cell; calculated density = 8.49 g cm⁻³
1.0
0.0000 4.5374 4.5374
4.5374 0.0000 4.5374
4.5374 4.5374 0.0000
Ac Ce Er
1 4 1
Direct
0.0000 0.0000 0.0000 Ac
0.3814 0.3814 0.3814 Ce
0.3814 0.3814 0.8559 Ce
0.3814 0.8559 0.3814 Ce
0.8559 0.3814 0.3814 Ce
0.7500 0.7500 0.7500 Er

Question: Look up the total DFT energy (no corrections) of the third one.
Answer: -56.15 eV for the cell shown

Question: What is the total DFT energy (no corrections) in the first record?
Answer: -73.89 eV for the cell shown

What did the first record say?
AcCeEr2 (GGA-PBE, relaxed); energy above the lowest structure with this stoichiometry = 0.32 eV per formula unit; total DFT energy (no corrections) = -73.89 eV for the cell shown; formation energy = 4.01 kcal/mol of atoms; crystal system = cubic; M_tot = 2.49 μB/cell; calculated density = 8.46 g cm⁻³
1.0
8.1971 0.0000 0.0000
0.0000 8.1971 0.0000
0.0000 0.0000 8.1971
Ac Ce Er
4 4 8
Direct
0.0000 0.0000 0.0000 Ac
0.0000 0.5000 0.5000 Ac
0.5000 0.0000 0.5000 Ac
0.5000 0.5000 0.0000 Ac
0.0000 0.0000 0.5000 Ce
0.0000 0.5000 0.0000 Ce
0.5000 0.0000 0.0000 Ce
0.5000 0.5000 0.5000 Ce
0.2500 0.2500 0.2500 Er
0.2500 0.2500 0.7500 Er
0.2500 0.7500 0.2500 Er
0.2500 0.7500 0.7500 Er
0.7500 0.2500 0.2500 Er
0.7500 0.2500 0.7500 Er
0.7500 0.7500 0.2500 Er
0.7500 0.7500 0.7500 Er